This record from Alexandria via LeMat-Bulk describes a relaxed structure of La2FeAs4Pd3. The functional is PBE.

## Properties
Calculated formation energy in meV/atom: -836
Electronic total energy in hartree per atom: -0.2236

a = 4.416 Å, b = 4.416 Å, c = 10.031 Å
α = 90.00°, β = 90.00°, γ = 90.00°
Fractional coordinates of all 10 atoms:
Pd 0.000 0.000 0.500
Pd 0.000 0.500 0.124
Pd 0.500 0.000 0.876
As 0.500 0.000 0.625
As 0.500 0.500 0.000
As 0.000 0.500 0.375
As 0.000 0.000 0.000
La 0.000 0.500 0.751
La 0.500 0.000 0.249
Fe 0.500 0.500 0.500


This record from Alexandria via LeMat-Bulk describes a relaxed structure of PmHo9Th2. The functional is PBE.

## Properties
Calculated formation energy in meV/atom: 31
Electronic total energy in hartree per atom: -0.1850

a = 5.007 Å, b = 5.007 Å, c = 15.045 Å
α = 90.00°, β = 90.00°, γ = 90.00°
Fractional coordinates of all 12 atoms:
Ho 0.500 0.500 0.000
Ho 0.500 0.000 0.170
Ho 0.000 0.500 0.170
Ho 0.500 0.000 0.500
Ho 0.500 0.500 0.334
Ho 0.500 0.000 0.830
Ho 0.500 0.500 0.666
Ho 0.000 0.500 0.500
Ho 0.000 0.500 0.830
Pm 0.000 0.000 0.000
Th 0.000 0.000 0.334
Th 0.000 0.000 0.666


This record from Alexandria via LeMat-Bulk describes a relaxed structure of Ta2In2Rh. The functional is PBE.

## Properties
Calculated formation energy in meV/atom: 339
Electronic total energy in hartree per atom: -0.2560

a = 6.648 Å, b = 6.648 Å, c = 4.693 Å
α = 90.00°, β = 90.00°, γ = 90.00°
Fractional coordinates of all 10 atoms:
Ta 0.354 0.854 0.000
Ta 0.146 0.354 0.000
Ta 0.854 0.646 0.000
Ta 0.646 0.146 0.000
In 0.665 0.835 0.500
In 0.835 0.335 0.500
In 0.335 0.165 0.500
In 0.165 0.665 0.500
Rh 0.000 0.000 0.000
Rh 0.500 0.500 0.000


This record from Alexandria via LeMat-Bulk describes a relaxed structure of Ca2HgTe. The functional is PBE.

## Properties
Electronic total energy in hartree per atom: -0.1031
Formation energy without anion corrections in meV per atom: -944

a = 3.975 Å, b = 3.944 Å, c = 8.312 Å
α = 61.66°, β = 90.00°, γ = 90.00°
Fractional coordinates of all 4 atoms:
Ca 0.000 0.997 0.003
Ca 0.000 0.503 0.497
Te 0.500 0.750 0.750
Hg 0.500 0.250 0.250